# 1
Below is an optimized crystal structure of CeTc2P2, with properties calculated at the GGA-PBE level.

a = 4.179 Å, b = 4.179 Å, c = 9.676 Å
α = 90.00°, β = 90.00°, γ = 90.00°
Space group I4/mmm (No. 139)
Unique sites:
Ce 0.000 0.000 0.000 x2
Tc 0.000 0.500 0.250 x4
P 0.000 0.000 0.365 x4

Output
Energy relative to the elements: -0.917 eV/atom
Density: 7.824 g/cm³

# 2
Below is an optimized crystal structure of CeTc4P2, with properties calculated at the GGA-PBE level.

a = 4.076 Å, b = 13.597 Å, c = 4.028 Å
α = 90.00°, β = 90.00°, γ = 90.00°
Space group Cmmm (No. 65)
Unique sites:
Ce 0.000 0.000 0.000 x2
Tc 0.000 0.183 0.500 x4
Tc 0.000 0.309 0.000 x4
P 0.000 0.413 0.500 x4

Output
Energy relative to the elements: -0.721 eV/atom
Density: 8.837 g/cm³

# 3
Below is an optimized crystal structure of CeTc5P3, with properties calculated at the GGA-PBE level.

a = 3.964 Å, b = 12.644 Å, c = 11.676 Å
α = 90.00°, β = 90.00°, γ = 90.00°
Space group Cmcm (No. 63)
Unique sites:
Ce 0.000 0.172 0.250 x4
Tc 0.000 0.000 0.000 x4
Tc 0.000 0.195 0.564 x8
Tc 0.000 0.455 0.148 x8
P 0.000 0.130 0.750 x4
P 0.000 0.376 0.550 x8

Output
Energy relative to the elements: -0.475 eV/atom
Density: 8.205 g/cm³

# 4
Below is an optimized crystal structure of CeTc4P3, with properties calculated at the GGA-PBE level.

a = 4.063 Å, b = 4.063 Å, c = 7.748 Å
α = 90.00°, β = 90.00°, γ = 90.00°
Space group P4/mmm (No. 123)
Unique sites:
Ce 0.000 0.000 0.000 x1
Tc 0.000 0.500 0.322 x4
P 0.000 0.000 0.500 x1
P 0.500 0.500 0.164 x2

Output
Energy relative to the elements: -0.599 eV/atom
Density: 8.113 g/cm³

# 5
Below is an optimized crystal structure of CeTcP2, with properties calculated at the GGA-PBE level.

a = 3.7535 Å, b = 3.7535 Å, c = 18.4512 Å
α = 90.00°, β = 90.00°, γ = 120.00°
Space group R3m (No. 160, hexagonal axes)
Unique sites:
Ce 0.0000 0.0000 0.0000 x3
Tc 0.0000 0.0000 0.8225 x3
P 0.0000 0.0000 0.4329 x3
P 0.0000 0.0000 0.5608 x3

Output
Energy relative to the elements: -0.765 eV/atom
Density: 6.640 g/cm³
Energy above the lowest structure with this stoichiometry: 0.0 meV per atom

# 6
Below is an optimized crystal structure of CeTc3P3, with properties calculated at the GGA-PBE level.

a = 6.7000 Å, b = 6.7000 Å, c = 20.1187 Å
α = 90.00°, β = 90.00°, γ = 120.00°
Space group R-3 (No. 148, hexagonal axes)
Unique sites:
Ce 0.0000 0.0000 0.1667 x6
Tc 0.0203 0.3117 0.7108 x18
P 0.0157 0.3036 0.5917 x18

Output
Energy relative to the elements: -0.607 eV/atom
Density: 6.714 g/cm³
Energy above the lowest structure with this stoichiometry: 56.0 meV per atom

# 7
Below is an optimized crystal structure of CeTc2P, with properties calculated at the GGA-PBE level.

a = 4.3006 Å, b = 4.3006 Å, c = 12.3553 Å
α = 90.00°, β = 90.00°, γ = 120.00°
Space group R-3m (No. 166, hexagonal axes)
Unique sites:
Ce 0.0000 0.0000 0.0000 x3
Tc 0.0000 0.0000 0.2378 x6
P 0.0000 0.0000 0.5000 x3

Output
Energy relative to the elements: -0.115 eV/atom
Density: 9.240 g/cm³

# 8
Below is an optimized crystal structure of CeTc3P2, with properties calculated at the GGA-PBE level.

a = 15.874 Å, b = 4.044 Å, c = 9.497 Å
α = 90.00°, β = 106.67°, γ = 90.00°
Space group C2/m (No. 12)
Unique sites:
Ce 0.000 0.000 0.000 x2
Ce 0.160 0.000 0.709 x4
Tc 0.000 0.500 0.500 x2
Tc 0.038 0.000 0.362 x4
Tc 0.117 0.500 0.199 x4
Tc 0.180 0.500 0.976 x4
Tc 0.209 0.000 0.387 x4
P 0.039 0.500 0.789 x4
P 0.147 0.500 0.460 x4
P 0.198 0.000 0.130 x4

Output
Energy relative to the elements: -0.679 eV/atom
Density: 8.462 g/cm³